Computed, not measured: an optimized crystal structure of SrLa2W at the PBE level of DFT.

The value obtained for the excess energy over the best structure of this formula in the dataset is 0.69 eV/f.u. For the magnetization, the calculation gives 0.000 μB/atom.

```
data_SrLa2W
_chemical_formula_sum 'Sr1 La2 W1'
_symmetry_space_group_name_H-M 'P 1'
_symmetry_Int_Tables_number 1
_cell_length_a 11.345
_cell_length_b 11.345
_cell_length_c 11.345
_cell_angle_alpha 19.16
_cell_angle_beta 19.16
_cell_angle_gamma 19.16
loop_
_symmetry_equiv_pos_as_xyz
'x,y,z'
loop_
_atom_site_label
_atom_site_type_symbol
_atom_site_fract_x
_atom_site_fract_y
_atom_site_fract_z
Sr1 Sr 0.250 0.250 0.250
La1 La 0.022 0.022 0.022
La2 La 0.478 0.478 0.478
W1 W 0.750 0.750 0.750
```